(1)
Cd7As6, relaxed, DFT PBE-GGA; magnetization = 0.00 μB/cell; space-group type = No. 166; raw total energy = -31.9 eV per cell; energy of formation = 2.36 eV per formula unit; density of states at the Fermi level = 0.302 states/eV per atom
1.0
9.6983 -0.0289 -0.0184
7.1162 6.5892 -0.0184
7.1162 2.7765 5.9757
Cd As
7 6
direct
0.5000 0.5000 0.5000
0.5865 0.5865 0.0580
0.5865 0.0580 0.5865
0.4135 0.9420 0.4135
0.9420 0.4135 0.4135
0.4135 0.4135 0.9420
0.0580 0.5865 0.5865
0.6441 0.6441 0.6441
0.3559 0.3559 0.3559
0.1901 0.1901 0.1901
0.8099 0.8099 0.8099
0.9586 0.9586 0.9586
0.0414 0.0414 0.0414

(2)
CdAs2, relaxed, DFT PBE-GGA; magnetization = 0.00 μB/cell; space-group type = No. 62; raw total energy = -39.7 eV per cell; energy of formation = 0.29 eV per formula unit; density of states at the Fermi level = 0.265 states/eV per atom
1.0
3.5330 0.0000 0.0000
0.0000 6.3693 0.0000
0.0000 0.0000 12.3295
As Cd
8 4
direct
0.7500 0.7832 0.5677
0.2500 0.7168 0.0677
0.2500 0.0868 0.8328
0.7500 0.9132 0.1672
0.7500 0.4132 0.3328
0.7500 0.2832 0.9323
0.2500 0.2168 0.4323
0.2500 0.5868 0.6672
0.2500 0.3006 0.1397
0.7500 0.6994 0.8603
0.7500 0.1994 0.6397
0.2500 0.8006 0.3603

(3)
Cd5As, relaxed, DFT PBE-GGA; excess energy over the best structure of this formula in the dataset = 3.5 kJ/mol of atoms; magnetization = 0.00 μB/cell; space-group type = No. 123; raw total energy = -8.7 eV per cell; energy of formation = 0.56 eV per formula unit; density of states at the Fermi level = 0.441 states/eV per atom
1.0
3.2092 0.0000 0.0000
0.0000 3.2092 0.0000
0.0000 0.0000 12.9895
Cd As
5 1
direct
0.0000 0.0000 0.1604
0.0000 0.0000 0.5000
0.0000 0.0000 0.8396
0.5000 0.5000 0.6687
0.5000 0.5000 0.3313
0.5000 0.5000 0.0000

(4)
CdAs2, relaxed, DFT PBE-GGA; magnetization = 0.00 μB/cell; space-group type = No. 8; raw total energy = -19.9 eV per cell; energy of formation = 0.27 eV per formula unit; density of states at the Fermi level = 0.387 states/eV per atom
1.0
1.7973 5.4646 0.6244
-1.7973 5.4646 0.6244
0.0000 3.1004 7.8251
Cd As
2 4
direct
0.0581 0.0581 0.3668
0.6536 0.6536 0.0357
0.4804 0.4804 0.7531
0.3028 0.3028 0.3992
0.9320 0.9320 0.9819
0.7397 0.7397 0.6298